Record 1
Compound: Tl2AsOs
Source: the Alexandria database
Functional: PBE
Structure: relaxed

Cell and atoms, written as CIF:
```
data_Tl2AsOs
_symmetry_space_group_name_H-M 'P 1'
_symmetry_Int_Tables_number 1
_symmetry_space_group_name_Hall 'P 1'
_cell_length_a 4.907
_cell_length_b 4.907
_cell_length_c 4.907
_cell_angle_alpha 60.00
_cell_angle_beta 60.00
_cell_angle_gamma 60.00
loop_
_atom_site_label
_atom_site_fract_x
_atom_site_fract_y
_atom_site_fract_z
Tl1 0.750 0.750 0.750
Tl2 0.250 0.250 0.250
Os1 0.500 0.500 0.500
As1 0.000 0.000 0.000
```

Values from the calculation:
**DOS at the Fermi energy**: 3.456 states/eV/cell
**Energy of formation**: 1027 meV per atom

---

Record 2
Compound: TaTlZn2
Source: the Alexandria database
Functional: PBE
Structure: relaxed

Cell and atoms, written as CIF:
```
data_TaTlZn2
_symmetry_space_group_name_H-M 'P 1'
_symmetry_Int_Tables_number 1
_symmetry_space_group_name_Hall 'P 1'
_cell_length_a 5.887
_cell_length_b 5.887
_cell_length_c 5.887
_cell_angle_alpha 150.64
_cell_angle_beta 129.09
_cell_angle_gamma 59.86
loop_
_atom_site_label
_atom_site_fract_x
_atom_site_fract_y
_atom_site_fract_z
Tl1 0.250 0.750 0.500
Zn1 0.980 0.980 0.000
Zn2 0.520 0.520 0.000
Ta1 0.750 0.250 0.500
```

Values from the calculation:
**DOS at the Fermi energy**: 2.193 states/eV/cell
**Energy of formation**: 370 meV per atom

---

Record 3
Compound: SmInHgBi
Source: the Alexandria database
Functional: PBE
Structure: relaxed

Cell and atoms, written as CIF:
```
data_SmInHgBi
_symmetry_space_group_name_H-M 'P 1'
_symmetry_Int_Tables_number 1
_symmetry_space_group_name_Hall 'P 1'
_cell_length_a 4.611
_cell_length_b 4.735
_cell_length_c 4.982
_cell_angle_alpha 90.00
_cell_angle_beta 90.00
_cell_angle_gamma 90.00
loop_
_atom_site_label
_atom_site_fract_x
_atom_site_fract_y
_atom_site_fract_z
Bi1 0.000 0.500 0.500
In1 0.500 0.500 0.000
Sm1 0.500 0.000 0.500
Hg1 0.000 0.000 0.000
```

Values from the calculation:
**DOS at the Fermi energy**: 2.686 states/eV/cell
**Energy of formation**: -431 meV per atom

---

Record 4
Compound: BeNb2V
Source: the Alexandria database
Functional: PBE
Structure: relaxed

Cell and atoms, written as CIF:
```
data_BeNb2V
_symmetry_space_group_name_H-M 'P 1'
_symmetry_Int_Tables_number 1
_symmetry_space_group_name_Hall 'P 1'
_cell_length_a 3.203
_cell_length_b 3.203
_cell_length_c 5.754
_cell_angle_alpha 90.00
_cell_angle_beta 90.00
_cell_angle_gamma 90.00
loop_
_atom_site_label
_atom_site_fract_x
_atom_site_fract_y
_atom_site_fract_z
V1 0.500 0.500 0.500
Nb1 0.000 0.000 0.761
Be1 0.500 0.500 0.000
Nb2 0.000 0.000 0.239
```

Values from the calculation:
**DOS at the Fermi energy**: 3.075 states/eV/cell
**Energy of formation**: -8 meV per atom

---

Record 5
Compound: Mg3Sn3Pb2
Source: the Alexandria database
Functional: PBE
Structure: relaxed

Cell and atoms, written as CIF:
```
data_Mg3Sn3Pb2
_symmetry_space_group_name_H-M 'P 1'
_symmetry_Int_Tables_number 1
_symmetry_space_group_name_Hall 'P 1'
_cell_length_a 4.547
_cell_length_b 4.782
_cell_length_c 10.199
_cell_angle_alpha 103.56
_cell_angle_beta 102.88
_cell_angle_gamma 90.00
loop_
_atom_site_label
_atom_site_fract_x
_atom_site_fract_y
_atom_site_fract_z
Mg1 0.000 0.500 0.000
Pb1 0.749 0.249 0.499
Sn1 0.500 0.000 0.000
Sn2 0.384 0.384 0.767
Sn3 0.616 0.616 0.233
Mg2 0.119 0.119 0.239
Mg3 0.881 0.881 0.761
Pb2 0.251 0.751 0.501
```

Values from the calculation:
**DOS at the Fermi energy**: 3.820 states/eV/cell
**Energy of formation**: -46 meV per atom

---

Record 6
Compound: CaBeRh
Source: the Alexandria database
Functional: PBE
Structure: relaxed

Cell and atoms, written as CIF:
```
data_CaBeRh
_symmetry_space_group_name_H-M 'P 1'
_symmetry_Int_Tables_number 1
_symmetry_space_group_name_Hall 'P 1'
_cell_length_a 5.572
_cell_length_b 5.572
_cell_length_c 3.142
_cell_angle_alpha 73.63
_cell_angle_beta 73.62
_cell_angle_gamma 32.75
loop_
_atom_site_label
_atom_site_fract_x
_atom_site_fract_y
_atom_site_fract_z
Be1 0.054 0.054 0.946
Rh1 0.616 0.616 0.384
Ca1 0.331 0.331 0.669
```

Values from the calculation:
**DOS at the Fermi energy**: 1.710 states/eV/cell
**Energy of formation**: -333 meV per atom

---

Record 7
Compound: Hf2ScPd
Source: the Alexandria database
Functional: PBE
Structure: relaxed

Cell and atoms, written as CIF:
```
data_Hf2ScPd
_symmetry_space_group_name_H-M 'P 1'
_symmetry_Int_Tables_number 1
_symmetry_space_group_name_Hall 'P 1'
_cell_length_a 3.170
_cell_length_b 3.170
_cell_length_c 9.720
_cell_angle_alpha 80.62
_cell_angle_beta 80.62
_cell_angle_gamma 60.00
loop_
_atom_site_label
_atom_site_fract_x
_atom_site_fract_y
_atom_site_fract_z
Hf1 0.077 0.077 0.769
Sc1 0.499 0.499 0.502
Pd1 0.667 0.667 0.998
Hf2 0.256 0.256 0.231
```

Values from the calculation:
**DOS at the Fermi energy**: 5.115 states/eV/cell
**Energy of formation**: -169 meV per atom

---

Record 8
Compound: BaTiAg2O4
Source: the Alexandria database
Functional: PBE
Structure: relaxed

Cell and atoms, written as CIF:
```
data_BaTiAg2O4
_symmetry_space_group_name_H-M 'P 1'
_symmetry_Int_Tables_number 1
_symmetry_space_group_name_Hall 'P 1'
_cell_length_a 5.878
_cell_length_b 5.591
_cell_length_c 5.591
_cell_angle_alpha 80.56
_cell_angle_beta 58.29
_cell_angle_gamma 58.29
loop_
_atom_site_label
_atom_site_fract_x
_atom_site_fract_y
_atom_site_fract_z
O1 0.001 0.478 0.172
O2 0.348 0.172 0.478
O3 0.999 0.828 0.522
Ag1 0.500 0.706 0.294
Ba1 0.000 0.000 0.000
Ti1 0.000 0.500 0.500
O4 0.652 0.522 0.828
Ag2 0.500 0.294 0.706
```

Values from the calculation:
**E_form (uncorrected)**: -180.1 kJ per mole of atoms

---

no.,total DFT energy (no corrections) (eV/atom)
1,-4.13
2,-3.82
3,-3.34
4,-8.25
5,-3.07
6,-4.69
7,-8.03
8,-6.29